Computed, not measured: an optimized crystal structure of Li2BrF at the PBE-GGA level of DFT.

Cell: 3.816 3.816 8.184 Å, 90.00 90.00 90.00°
Element x y z (fractional)
F  0.250  0.250  0.426
Br  0.250  0.250  0.831
Li  0.750  0.750  0.821
Li  0.750  0.250  0.500
F  0.750  0.750  0.574
Br  0.750  0.750  0.169
Li  0.250  0.250  0.179
Li  0.250  0.750  0.500

Output
relative energy among the computed polymorphs = 0 meV/atom
D(E_F) = 0.0 states/eV/f.u.
SG = P4/nmm (129)
uncorrected formation energy = -855 kJ/mol of formula units



Computed, not measured: an optimized crystal structure of Ni4Pt3W at the PBE-GGA level of DFT.

Cell: 4.543 4.543 8.241 Å, 59.10 59.10 49.53°
Element x y z (fractional)
Pt  0.500  0.500  0.500
W  0.000  0.000  0.000
Pt  0.739  0.739  0.757
Ni  0.115  0.115  0.632
Ni  0.370  0.370  0.879
Ni  0.885  0.885  0.368
Pt  0.261  0.261  0.243
Ni  0.630  0.630  0.121

Output
D(E_F) = 7.5 states/eV/f.u.
SG = C2/m (12)
calculated formation energy = -0.17 eV/atom



Computed, not measured: an optimized crystal structure of HfTeAsN2 at the PBE-GGA level of DFT.

Cell: 4.127 4.127 6.053 Å, 90.00 90.00 90.00°
Element x y z (fractional)
As  0.500  0.500  0.500
N  0.000  0.500  0.000
Te  0.000  0.000  0.500
Hf  0.000  0.000  0.000
N  0.500  0.000  0.000

Output
relative energy among the computed polymorphs = 0 meV/atom
D(E_F) = 3.9 states/eV/f.u.
SG = P4/mmm (123)
uncorrected formation energy = 236 kJ/mol of formula units



Computed, not measured: an optimized crystal structure of TiNbNi at the PBE-GGA level of DFT.

Cell: 2.774 3.842 5.169 Å, 111.81 105.57 90.00°
Element x y z (fractional)
Nb  0.619  0.119  0.237
Ti  0.840  0.840  0.680
Ni  0.420  0.420  0.840

Output
relative energy among the computed polymorphs = 469 meV/atom
D(E_F) = 3.7 states/eV/f.u.
SG = Imm2 (44)
calculated formation energy = 0.22 eV/atom



Computed, not measured: an optimized crystal structure of NiI2NCl at the PBE-GGA level of DFT.

Cell: 6.724 6.724 3.286 Å, 90.00 90.00 90.00°
Element x y z (fractional)
Cl  0.000  0.000  0.000
N  0.000  0.000  0.500
I  0.000  0.500  0.000
Ni  0.500  0.500  0.500
I  0.500  0.000  0.000

Output
relative energy among the computed polymorphs = 919 meV/atom
D(E_F) = 7.6 states/eV/f.u.
SG = P4/mmm (123)
uncorrected formation energy = 747 kJ/mol of formula units



Computed, not measured: an optimized crystal structure of CaScSb2Os at the PBE-GGA level of DFT.

Cell: 5.306 5.793 5.306 Å, 90.00 90.00 90.00°
Element x y z (fractional)
Sb  0.500  0.000  0.000
Sb  0.000  0.000  0.500
Sc  0.000  0.000  0.000
Ca  0.000  0.500  0.000
Os  0.500  0.500  0.500

Output
relative energy among the computed polymorphs = 0 meV/atom
D(E_F) = 3.8 states/eV/f.u.
SG = P4/mmm (123)
uncorrected formation energy = 609 kJ/mol of formula units



Computed, not measured: an optimized crystal structure of TaIrBr2 at the PBE-GGA level of DFT.

Cell: 3.624 3.624 9.126 Å, 81.68 81.68 59.46°
Element x y z (fractional)
Br  0.965  0.965  0.081
Ir  0.536  0.536  0.453
Ta  0.225  0.225  0.300
Br  0.774  0.774  0.667

Output
relative energy among the computed polymorphs = 0 meV/atom
SG = Cm (8)
uncorrected formation energy = -168 kJ/mol of formula units



Computed, not measured: an optimized crystal structure of Pr6SmY12 at the PBE-GGA level of DFT.

Cell: 8.770 8.770 8.770 Å, 79.68 79.68 79.68°
Element x y z (fractional)
Pr  0.770  0.770  0.165
Pr  0.230  0.835  0.230
Y  0.485  0.485  0.804
Y  0.196  0.515  0.515
Sm  0.000  0.000  0.000
Y  0.485  0.804  0.485
Y  0.137  0.137  0.483
Y  0.804  0.485  0.485
Pr  0.770  0.165  0.770
Y  0.137  0.483  0.137
Y  0.863  0.517  0.863
Y  0.863  0.863  0.517
Y  0.515  0.515  0.196
Y  0.517  0.863  0.863
Pr  0.165  0.770  0.770
Y  0.483  0.137  0.137
Pr  0.230  0.230  0.835
Pr  0.835  0.230  0.230
Y  0.515  0.196  0.515

Output
relative energy among the computed polymorphs = 0 meV/atom
D(E_F) = 31.5 states/eV/f.u.
SG = R-3m (166)
calculated formation energy = 0.11 eV/atom



Computed, not measured: an optimized crystal structure of CeSm4H10 at the PBE-GGA level of DFT.

Cell: 3.806 3.806 15.757 Å, 83.06 83.06 60.00°
Element x y z (fractional)
Ce  0.000  0.000  0.000
Sm  0.200  0.200  0.401
H  0.649  0.649  0.052
H  0.550  0.550  0.351
H  0.751  0.751  0.748
Sm  0.800  0.800  0.599
H  0.351  0.351  0.948
H  0.150  0.150  0.550
Sm  0.600  0.600  0.201
H  0.249  0.249  0.252
H  0.949  0.949  0.152
H  0.850  0.850  0.450
Sm  0.400  0.400  0.799
H  0.450  0.450  0.649
H  0.051  0.051  0.848

Output
D(E_F) = 9.5 states/eV/f.u.
SG = R-3m (166)



Computed, not measured: an optimized crystal structure of Te4MoW at the PBE-GGA level of DFT.

Cell: 6.227 6.227 6.227 Å, 60.00 60.00 60.00°
Element x y z (fractional)
Te  0.375  0.375  0.375
Te  0.874  0.375  0.375
Mo  0.000  0.000  0.000
Te  0.375  0.874  0.375
Te  0.375  0.375  0.874
W  0.750  0.750  0.750

Output
relative energy among the computed polymorphs = 2057 meV/atom
D(E_F) = 6.1 states/eV/f.u.
SG = F-43m (216)
uncorrected formation energy = 1084 kJ/mol of formula units



Computed, not measured: an optimized crystal structure of KErPbO3 at the PBE-GGA level of DFT.

Cell: 3.484 10.165 6.762 Å, 93.48 90.00 90.00°
Element x y z (fractional)
Er  0.250  0.632  0.088
O  0.250  0.791  0.354
K  0.250  0.332  0.391
Pb  0.750  0.911  0.233
O  0.250  0.243  0.011
Pb  0.250  0.089  0.767
O  0.750  0.506  0.185
Er  0.750  0.368  0.912
O  0.250  0.494  0.815
K  0.750  0.668  0.609
O  0.750  0.757  0.989
O  0.750  0.209  0.646

Output
D(E_F) = 0.0 states/eV/f.u.
SG = P2_1/m (11)
uncorrected formation energy = -1288 kJ/mol of formula units



Computed, not measured: an optimized crystal structure of Er4Cu2Te at the PBE-GGA level of DFT.

Cell: 7.642 7.638 7.641 Å, 107.97 108.00 112.48°
Element x y z (fractional)
Er  0.753  0.142  0.739
Cu  0.752  0.875  0.377
Er  0.497  0.737  0.889
Cu  0.498  0.375  0.623
Er  0.987  0.247  0.389
Er  0.402  0.013  0.260
Cu  0.625  0.248  0.123
Cu  0.125  0.502  0.877
Er  0.858  0.598  0.611
Te  0.000  0.000  0.000
Er  0.848  0.608  0.111
Te  0.250  0.750  0.500
Er  0.263  0.152  0.761
Er  0.392  0.503  0.239

Output
D(E_F) = 3.6 states/eV/f.u.
SG = I-42d (122)
uncorrected formation energy = -292 kJ/mol of formula units



Computed, not measured: an optimized crystal structure of Er2TmGe3Pt4 at the PBE-GGA level of DFT.

Cell: 4.142 4.142 11.487 Å, 90.00 90.00 90.00°
Element x y z (fractional)
Pt  0.000  0.500  0.341
Er  0.500  0.000  0.223
Ge  0.000  0.000  0.500
Pt  0.500  0.000  0.659
Pt  0.000  0.000  0.000
Tm  0.500  0.500  0.500
Ge  0.000  0.500  0.130
Pt  0.500  0.500  0.000
Ge  0.500  0.000  0.870
Er  0.000  0.500  0.777

Output
D(E_F) = 6.6 states/eV/f.u.
SG = P-4m2 (115)
calculated formation energy = -0.94 eV/atom



Computed, not measured: an optimized crystal structure of CdRe2N4O8 at the PBE-GGA level of DFT.

Cell: 7.621 7.621 7.621 Å, 60.00 60.00 60.00°
Element x y z (fractional)
Cd  0.500  0.500  0.500
O  0.717  0.094  0.094
O  0.844  0.844  0.468
O  0.094  0.717  0.094
N  0.376  0.871  0.376
N  0.376  0.376  0.871
O  0.844  0.844  0.844
O  0.468  0.844  0.844
N  0.376  0.376  0.376
O  0.844  0.468  0.844
O  0.094  0.094  0.094
Re  0.750  0.750  0.750
O  0.094  0.094  0.717
N  0.871  0.376  0.376
Re  0.000  0.000  0.000

Output
D(E_F) = 9.5 states/eV/f.u.
SG = F-43m (216)
uncorrected formation energy = 683 kJ/mol of formula units



Computed, not measured: an optimized crystal structure of NaHf2Mn at the PBE-GGA level of DFT.

Cell: 7.237 7.237 7.291 Å, 60.24 60.24 90.00°
Element x y z (fractional)
Hf  0.875  0.125  0.750
Na  0.500  0.500  0.000
Na  0.250  0.750  0.500
Mn  0.000  0.000  0.000
Hf  0.375  0.125  0.750
Hf  0.875  0.625  0.250
Hf  0.875  0.125  0.250
Mn  0.750  0.250  0.500

Output
relative energy among the computed polymorphs = 745 meV/atom
D(E_F) = 4.6 states/eV/f.u.
SG = I4_1/amd (141)
calculated formation energy = 1.25 eV/atom



Computed, not measured: an optimized crystal structure of Rb6AuCl2 at the PBE-GGA level of DFT.

Cell: 8.432 8.432 9.625 Å, 64.02 64.02 60.00°
Element x y z (fractional)
Cl  0.828  0.828  0.516
Rb  0.414  0.773  0.737
Au  0.000  0.000  0.000
Cl  0.172  0.172  0.484
Rb  0.773  0.076  0.737
Rb  0.586  0.227  0.263
Rb  0.924  0.586  0.263
Rb  0.076  0.414  0.737
Rb  0.227  0.924  0.263

Output
D(E_F) = 3.1 states/eV/f.u.
SG = R-3 (148)
uncorrected formation energy = -765 kJ/mol of formula units



Computed, not measured: an optimized crystal structure of GaOsSe3 at the PBE-GGA level of DFT.

Cell: 4.953 4.953 4.953 Å, 90.00 90.00 90.00°
Element x y z (fractional)
Os  0.000  0.000  0.000
Se  0.000  0.000  0.500
Ga  0.500  0.500  0.500
Se  0.000  0.500  0.000
Se  0.500  0.000  0.000

Output
relative energy among the computed polymorphs = 0 meV/atom
D(E_F) = 6.8 states/eV/f.u.
SG = Pm-3m (221)
uncorrected formation energy = 230 kJ/mol of formula units



Computed, not measured: an optimized crystal structure of SrLi2NdPb2 at the PBE-GGA level of DFT.

Cell: 4.951 4.951 7.983 Å, 90.00 90.00 120.00°
Element x y z (fractional)
Pb  0.333  0.667  0.281
Li  0.667  0.333  0.292
Pb  0.667  0.333  0.719
Nd  0.000  0.000  0.500
Li  0.333  0.667  0.708
Sr  0.000  0.000  0.000

Output
D(E_F) = 2.6 states/eV/f.u.
SG = P-3m1 (164)
calculated formation energy = -0.51 eV/atom



Computed, not measured: an optimized crystal structure of YIn3S6 at the PBE-GGA level of DFT.

Cell: 3.883 11.290 10.896 Å, 111.72 90.00 90.00°
Element x y z (fractional)
S  0.750  0.452  0.604
S  0.250  0.253  0.738
S  0.250  0.603  0.938
S  0.250  0.071  0.909
S  0.250  0.548  0.396
In  0.750  0.438  0.834
S  0.250  0.200  0.261
In  0.250  0.832  0.904
In  0.250  0.562  0.166
S  0.750  0.747  0.262
Y  0.750  0.050  0.701
S  0.750  0.100  0.463
In  0.250  0.295  0.518
S  0.750  0.800  0.739
S  0.250  0.900  0.537
S  0.750  0.929  0.091
In  0.750  0.705  0.482
In  0.750  0.168  0.096
S  0.750  0.397  0.062
Y  0.250  0.950  0.299

Output
SG = P2_1/m (11)
uncorrected formation energy = -863 kJ/mol of formula units



Computed, not measured: an optimized crystal structure of TbLuBeIr at the PBE-GGA level of DFT.

Cell: 4.804 4.804 4.804 Å, 60.00 60.00 60.00°
Element x y z (fractional)
Lu  0.250  0.250  0.250
Ir  0.000  0.000  0.000
Tb  0.750  0.750  0.750
Be  0.500  0.500  0.500

Output
D(E_F) = 2.5 states/eV/f.u.
SG = F-43m (216)
calculated formation energy = -0.44 eV/atom



Computed, not measured: an optimized crystal structure of TmUCd at the PBE-GGA level of DFT.

Cell: 5.944 5.944 8.716 Å, 134.61 134.61 52.94°
Element x y z (fractional)
Tm  0.751  0.751  0.231
Cd  0.541  0.541  0.705
Tm  0.249  0.249  0.769
U  0.943  0.943  0.814
Cd  0.459  0.459  0.295
U  0.057  0.057  0.186

Output
D(E_F) = 5.1 states/eV/f.u.
SG = C2/m (12)
calculated formation energy = 0.21 eV/atom



Computed, not measured: an optimized crystal structure of HfScReMo at the PBE-GGA level of DFT.

Cell: 4.634 4.634 4.634 Å, 60.00 60.00 60.00°
Element x y z (fractional)
Sc  0.000  0.000  0.000
Re  0.500  0.500  0.500
Mo  0.750  0.750  0.750
Hf  0.250  0.250  0.250

Output
D(E_F) = 4.3 states/eV/f.u.
SG = F-43m (216)
calculated formation energy = 0.00 eV/atom



DFT total energy readings, ordered: -4.06; -6.94; -6.39; -7.70; -2.26; -4.30; -6.45; -5.73; -4.53; -4.19; -6.26; -4.66; -6.10; -6.11; -6.35; -2.30; -4.47; -3.45; -4.84; -5.87; -5.35; -9.89 eV/atom
V readings, ordered: 14.90; 13.34; 20.62; 16.32; 29.71; 32.62; 25.44; 33.96; 13.05; 28.46; 19.92; 24.47; 19.71; 20.87; 34.00; 56.80; 24.30; 28.24; 22.19; 19.60; 25.40; 17.60 Å³/atom